No. 1
A plane-wave DFT calculation with PBE-GGA was carried out for a relaxed structure of SrNi2Pb2.

The structure in POSCAR format:
```
SrNi2Pb2
1.0
7.943 0.000 0.000
0.000 7.943 0.000
0.000 0.000 3.527
Sr Ni Pb
2 4 4
Direct
0.000 0.000 0.000
0.500 0.500 0.000
0.116 0.384 0.000
0.384 0.884 0.000
0.616 0.116 0.000
0.884 0.616 0.000
0.157 0.657 0.500
0.343 0.157 0.500
0.657 0.843 0.500
0.843 0.343 0.500
```

## Properties
Formation enthalpy at 0 K   1.03 kcal/mol of atoms
Electronic total energy   -4.087 eV/atom
Density of states at the Fermi level   4.049 states/eV/cell
Magnetic moment   0.000 μB/f.u.

=====

No. 2
A plane-wave DFT calculation with PBE-GGA was carried out for a relaxed structure of SnHg2PdCl.

The structure in POSCAR format:
```
SnHg2PdCl
1.0
5.613 0.000 0.000
0.000 5.613 0.000
0.000 0.000 5.097
Sn Hg Pd Cl
1 2 1 1
Direct
0.000 0.000 0.000
0.000 0.500 0.000
0.500 0.000 0.000
0.000 0.000 0.500
0.500 0.500 0.500
```

## Properties
Raw formation energy   0.99 eV per formula unit
Electronic total energy   -2.130 eV/atom
Density of states at the Fermi level   5.731 states/eV/cell
Magnetic moment   0.000 μB/f.u.